A plane-wave DFT calculation with SCAN was carried out for a PBEsol-optimized structure of In3Se2.

Properties
E_tot in eV/f.u.: -142.39
Uncorrected formation energy in eV per atom: -0.41

Cell: 4.0675 4.0675 26.9461 Å, 90.00 90.00 120.00°
Closest atoms and distances in Å follow each position.
Space group R-3m (No. 166, hexagonal axes)
Unique sites:
In: 0.0000 0.0000 0.0000 [3 per cell]  6 Se 3.02
In: 0.0000 0.0000 0.2050 [6 per cell]  3 Se 2.82, 3 In 3.13
Se: 0.0000 0.0000 0.4037 [6 per cell]  6 In 2.82-3.02

---

A plane-wave DFT calculation with SCAN was carried out for a PBEsol-optimized structure of AlHg2Sb.

Properties
E_tot in eV/f.u.: -180.75
Excess energy over the best structure of this formula in the dataset in eV/atom: 0.075
Uncorrected formation energy in eV per atom: 0.15

Cell: 3.2695 3.2695 8.3985 Å, 90.00 90.00 90.00°
Closest atoms and distances in Å follow each position.
Space group P4mm (No. 99)
Unique sites:
Al: 0.0000 0.0000 0.0000 [1 per cell]  4 Hg 2.91, 4 Sb 3.04
Hg: 0.0000 0.0000 0.4719 [1 per cell]  8 Hg 3.19-3.27, 4 Sb 3.38
Hg: 0.5000 0.5000 0.2098 [1 per cell]  4 Al 2.91, 4 Hg 3.19
Sb: 0.5000 0.5000 0.7653 [1 per cell]  4 Al 3.04, 4 Sb 3.27, 4 Hg 3.38

---

A plane-wave DFT calculation with SCAN was carried out for a PBEsol-optimized structure of RuRh2W.

Properties
E_tot in eV/f.u.: -171.18
Formation energy from the elements in eV per atom: 0.219
Excess energy over the best structure of this formula in the dataset in eV/atom: 0.419

Cell: 3.2584 3.2584 5.3714 Å, 90.00 90.00 90.00°
Closest atoms and distances in Å follow each position.
Space group P4/mmm (No. 123)
Unique sites:
Ru: 0.0000 0.0000 0.0000 [1 per cell]  8 Rh 2.67, 2 W 2.69
Rh: 0.5000 0.5000 0.2500 [2 per cell]  4 W 2.67, 4 Ru 2.67, 2 Rh 2.69
W: 0.0000 0.0000 0.5000 [1 per cell]  8 Rh 2.67, 2 Ru 2.69

---

A plane-wave DFT calculation with SCAN was carried out for a PBEsol-optimized structure of Ba2AlTe.

Properties
E_tot in eV/f.u.: -125.73
Excess energy over the best structure of this formula in the dataset in eV/atom: 0.382
Uncorrected formation energy in eV per atom: -0.41

Cell: 3.9397 3.9397 9.5278 Å, 90.00 90.00 90.00°
Closest atoms and distances in Å follow each position.
Space group P4mm (No. 99)
Unique sites:
Ba: 0.0000 0.0000 0.0000 [1 per cell]  1 Al 3.53, 4 Te 3.57, 4 Ba 3.94
Ba: 0.5000 0.5000 0.3952 [1 per cell]  1 Te 3.53, 4 Al 3.57, 4 Ba 3.94
Al: 0.0000 0.0000 0.6291 [1 per cell]  4 Te 3.07
Te: 0.5000 0.5000 0.7655 [1 per cell]  4 Al 3.07

---

A plane-wave DFT calculation with SCAN was carried out for a PBEsol-optimized structure of TiCr3F.

Properties
E_tot in eV/f.u.: -68.57
Uncorrected formation energy in eV per atom: 1.23

Cell: 4.5174 4.5174 4.5174 Å, 90.00 90.00 90.00°
Closest atoms and distances in Å follow each position.
Space group Pm-3m (No. 221)
Unique sites:
Ti: 0.0000 0.0000 0.0000 [1 per cell]  6 Cr 2.26
Cr: 0.0000 0.0000 0.5000 [3 per cell]  2 Ti 2.26
F: 0.5000 0.5000 0.5000 [1 per cell]  12 Cr 3.19

---

A plane-wave DFT calculation with SCAN was carried out for a PBEsol-optimized structure of K2IrW.

Properties
E_tot in eV/f.u.: -155.08
Formation energy from the elements in eV per atom: 0.590

Cell: 20.6575 3.0120 4.1061 Å, 90.00 101.26 90.00°
Closest atoms and distances in Å follow each position.
Space group C2/m (No. 12)
Unique sites:
K: 0.1434 0.0000 0.1419 [4 per cell]  2 K 3.01, 2 Ir 3.27
Ir: 0.0000 0.5000 0.0000 [2 per cell]  4 W 2.55
W: 0.0000 0.0000 0.5000 [2 per cell]  4 Ir 2.55

---

A plane-wave DFT calculation with SCAN was carried out for a PBEsol-optimized structure of TcAuI2.

Properties
E_tot in eV/f.u.: -173.39
Uncorrected formation energy in eV per atom: 1.08

Cell: 6.9238 6.9238 6.9238 Å, 90.00 90.00 90.00°
Closest atoms and distances in Å follow each position.
Space group Fm-3m (No. 225)
Unique sites:
Tc: 0.0000 0.0000 0.0000 [4 per cell]  8 I 3.00
Au: 0.0000 0.0000 0.5000 [4 per cell]  8 I 3.00
I: 0.2500 0.2500 0.2500 [8 per cell]  4 Tc 3.00, 4 Au 3.00

---

A plane-wave DFT calculation with SCAN was carried out for a PBEsol-optimized structure of ZrCoSe2Br.

Properties
E_tot in eV/f.u.: -107.92
Uncorrected formation energy in eV per atom: -0.06

Cell: 4.6181 4.6181 4.5509 Å, 90.00 90.00 90.00°
Closest atoms and distances in Å follow each position.
Space group P4/mmm (No. 123)
Unique sites:
Zr: 0.0000 0.0000 0.0000 [1 per cell]  8 Se 3.24, 4 Br 3.27
Co: 0.5000 0.5000 0.5000 [1 per cell]  2 Br 2.28, 4 Se 2.31
Se: 0.0000 0.5000 0.5000 [2 per cell]  2 Co 2.31
Br: 0.5000 0.5000 0.0000 [1 per cell]  2 Co 2.28

---

A plane-wave DFT calculation with SCAN was carried out for a PBEsol-optimized structure of Li5SnP3.

Properties
E_tot in eV/f.u.: -84.53
Formation energy from the elements in eV per atom: -0.607

Cell: 13.1999 5.9376 8.4193 Å, 90.00 108.43 90.00°
Closest atoms and distances in Å follow each position.
Space group C2/c (No. 15)
Unique sites:
Li: 0.0000 0.2484 0.2500 [4 per cell]  4 P 2.57-2.60
Li: 0.1653 0.2554 0.5725 [8 per cell]  4 P 2.56-2.64
Li: 0.1703 0.2551 0.0903 [8 per cell]  4 P 2.51-2.62
Sn: 0.0000 0.2648 0.7500 [4 per cell]  4 P 2.47-2.63
P: 0.0000 0.0000 0.0000 [4 per cell]  6 Li 2.57-2.62, 2 Sn 2.63
P: 0.1659 0.4894 0.8281 [8 per cell]  1 Sn 2.47, 7 Li 2.51-2.64

---

A plane-wave DFT calculation with SCAN was carried out for a PBEsol-optimized structure of Ba2LaNb5O15.

Properties
E_tot in eV/f.u.: -451.33
Uncorrected formation energy in eV per atom: -3.04

Cell: 12.6089 12.6089 4.0080 Å, 90.00 90.00 90.00°
Closest atoms and distances in Å follow each position.
Space group P4/mbm (No. 127)
Unique sites:
Ba: 0.1652 0.3348 0.0000 [4 per cell]  7 O 2.79-2.95
La: 0.0000 0.0000 0.0000 [2 per cell]  12 O 2.70-2.71
Nb: 0.0000 0.5000 0.5000 [2 per cell]  6 O 2.00-2.01
Nb: 0.0796 0.7889 0.5000 [8 per cell]  6 O 1.97-2.04
O: 0.0000 0.5000 0.0000 [2 per cell]  2 Nb 2.00
O: 0.0075 0.3406 0.5000 [8 per cell]  2 Nb 1.97-2.01
O: 0.0611 0.1312 0.5000 [8 per cell]  2 Nb 2.00-2.04
O: 0.0794 0.8008 0.0000 [8 per cell]  2 Nb 2.01
O: 0.2261 0.7261 0.5000 [4 per cell]  2 Nb 2.01

---

A plane-wave DFT calculation with SCAN was carried out for a PBEsol-optimized structure of Zr2Ge2Au.

Properties
E_tot in eV/f.u.: -172.54
Formation energy from the elements in eV per atom: -0.763

Cell: 6.8016 6.8016 3.8761 Å, 90.00 90.00 90.00°
Closest atoms and distances in Å follow each position.
Space group P4/mbm (No. 127)
Unique sites:
Zr: 0.1773 0.3227 0.0000 [4 per cell]  6 Ge 2.70-2.86
Ge: 0.1273 0.6273 0.5000 [4 per cell]  1 Ge 2.45, 2 Au 2.68, 2 Zr 2.70
Au: 0.0000 0.0000 0.5000 [2 per cell]  4 Ge 2.68

---

A plane-wave DFT calculation with SCAN was carried out for a PBEsol-optimized structure of Mg2Si2Ru.

Properties
E_tot in eV/f.u.: -66.22
Uncorrected formation energy in eV per atom: -0.28

Cell: 6.2681 6.2681 4.0393 Å, 90.00 90.00 90.00°
Closest atoms and distances in Å follow each position.
Space group P4/mbm (No. 127)
Unique sites:
Mg: 0.1766 0.3234 0.0000 [4 per cell]  6 Si 2.63-2.81
Si: 0.1331 0.6331 0.5000 [4 per cell]  1 Si 2.36, 2 Ru 2.45, 2 Mg 2.63
Ru: 0.0000 0.0000 0.5000 [2 per cell]  4 Si 2.45

---

A plane-wave DFT calculation with SCAN was carried out for a PBEsol-optimized structure of YAgPb2.

Properties
E_tot in eV/f.u.: -211.65
Formation energy from the elements in eV per atom: -0.220

Cell: 3.3956 4.2806 6.7952 Å, 90.00 90.00 90.00°
Closest atoms and distances in Å follow each position.
Space group Pmmm (No. 47)
Unique sites:
Y: 0.0000 0.0000 0.0000 [1 per cell]  8 Pb 3.29, 2 Y 3.40, 2 Ag 3.40
Ag: 0.0000 0.0000 0.5000 [1 per cell]  8 Pb 3.15, 2 Ag 3.40, 2 Y 3.40
Pb: 0.5000 0.5000 0.2690 [2 per cell]  3 Pb 3.14-3.40, 4 Ag 3.15, 4 Y 3.29

---

A plane-wave DFT calculation with SCAN was carried out for a PBEsol-optimized structure of BaH2O2.

Properties
E_tot in eV/f.u.: -68.43

Cell: 7.5021 7.5472 10.9091 Å, 90.00 126.81 90.00°
Closest atoms and distances in Å follow each position.
Space group P2_1/c (No. 14)
Unique sites:
Ba: 0.0735 0.0214 0.3453 [4 per cell]  4 H 2.54-2.82, 5 O 2.58-2.82
Ba: 0.3302 0.5871 0.5974 [4 per cell]  4 H 2.65-2.83, 7 O 2.68-2.92
H: 0.1826 0.2152 0.6174 [4 per cell]  1 O 0.99
H: 0.2607 0.2196 0.8157 [4 per cell]  1 O 1.00
H: 0.2974 0.6155 0.2125 [4 per cell]  1 O 1.01
H: 0.4423 0.7452 0.4162 [4 per cell]  1 O 1.00
O: 0.1165 0.1804 0.1315 [4 per cell]  1 H 0.99
O: 0.2862 0.7399 0.8214 [4 per cell]  1 H 1.00
O: 0.2906 0.5349 0.1355 [4 per cell]  1 H 1.01
O: 0.3025 0.1646 0.9130 [4 per cell]  1 H 1.00

---

A plane-wave DFT calculation with SCAN was carried out for a PBEsol-optimized structure of BaCaTl2.

Properties
E_tot in eV/f.u.: -196.08
Formation energy from the elements in eV per atom: -0.537

Cell: 4.0049 5.5643 5.8408 Å, 90.00 90.04 90.00°
Closest atoms and distances in Å follow each position.
Space group Pm (No. 6)
Unique sites:
Ba: 0.0000 0.0000 0.0000 [1 per cell]  8 Tl 3.47-3.58, 2 Ca 3.81
Ca: 0.9986 0.5000 0.4468 [1 per cell]  6 Tl 3.34-3.45
Tl: 0.4995 0.0000 0.5071 [1 per cell]  4 Ca 3.44-3.45, 4 Ba 3.51-3.58, 2 Tl 3.62
Tl: 0.4997 0.5000 0.9043 [1 per cell]  2 Ca 3.34, 4 Ba 3.47, 2 Tl 3.62

---

A plane-wave DFT calculation with SCAN was carried out for a PBEsol-optimized structure of TaSbCl.

Properties
E_tot in eV/f.u.: -112.27
Uncorrected formation energy in eV per atom: -0.15

Cell: 3.4346 5.0182 15.1435 Å, 90.00 90.00 90.00°
Closest atoms and distances in Å follow each position.
Space group Fmm2 (No. 42)
Unique sites:
Ta: 0.0000 0.0000 0.0000 [4 per cell]  2 Cl 2.53
Sb: 0.0000 0.0000 0.3479 [4 per cell]  2 Ta 2.87, 4 Sb 3.04
Cl: 0.0000 0.0000 0.6231 [4 per cell]  2 Ta 2.53

---

A plane-wave DFT calculation with SCAN was carried out for a PBEsol-optimized structure of TaIn2Pb.

Properties
E_tot in eV/f.u.: -207.66
Formation energy from the elements in eV per atom: 0.370

Cell: 3.7918 3.7918 6.1043 Å, 90.00 90.00 90.00°
Closest atoms and distances in Å follow each position.
Space group P4mm (No. 99)
Unique sites:
Ta: 0.0000 0.0000 0.0000 [1 per cell]  6 In 2.98-3.12, 4 Pb 3.05
In: 0.0000 0.0000 0.4888 [1 per cell]  2 Ta 2.98-3.12, 4 In 3.09, 4 Pb 3.16
In: 0.5000 0.5000 0.2385 [1 per cell]  2 Pb 2.90-3.20, 4 Ta 3.05, 4 In 3.09
Pb: 0.5000 0.5000 0.7634 [1 per cell]  6 In 2.90-3.20, 4 Ta 3.05

---

A plane-wave DFT calculation with SCAN was carried out for a PBEsol-optimized structure of BaMo2As.

Properties
E_tot in eV/f.u.: -129.16
Formation energy from the elements in eV per atom: 0.087

Cell: 4.3117 4.3117 17.8224 Å, 90.00 90.00 120.00°
Closest atoms and distances in Å follow each position.
Space group R3m (No. 160, hexagonal axes)
Unique sites:
Ba: 0.0000 0.0000 0.0000 [3 per cell]  4 Mo 3.42-3.60, 4 As 3.46-3.54
Mo: 0.0000 0.0000 0.4974 [3 per cell]  3 Mo 2.56, 3 As 2.56
Mo: 0.0000 0.0000 0.7979 [3 per cell]  3 Mo 2.56, 3 As 2.76
As: 0.0000 0.0000 0.1986 [3 per cell]  6 Mo 2.56-2.76

---

A plane-wave DFT calculation with SCAN was carried out for a PBEsol-optimized structure of ZnFe2.

Properties
E_tot in eV/f.u.: -49.65
Formation energy from the elements in eV per atom: 0.041

Cell: 9.5344 2.4847 6.0981 Å, 90.00 105.20 90.00°
Closest atoms and distances in Å follow each position.
Space group Cm (No. 8)
Unique sites:
Zn: 0.0000 0.0000 0.0000 [2 per cell]  4 Zn 2.48-2.58, 8 Fe 2.53-2.57
Zn: 0.1703 0.5000 0.3375 [2 per cell]  4 Zn 2.48-2.58, 8 Fe 2.52-2.60
Fe: 0.1056 0.5000 0.7142 [2 per cell]  9 Fe 2.48-2.57, 3 Zn 2.53-2.55
Fe: 0.2756 0.0000 0.0439 [2 per cell]  7 Fe 2.47-2.58, 5 Zn 2.55-2.59
Fe: 0.3335 0.0000 0.6726 [2 per cell]  8 Fe 2.47-2.57, 4 Zn 2.53-2.54
Fe: 0.4408 0.5000 0.3867 [2 per cell]  8 Fe 2.48-2.58, 4 Zn 2.52-2.60

---

A plane-wave DFT calculation with SCAN was carried out for a PBEsol-optimized structure of CsCd2Ga2.

Properties
E_tot in eV/f.u.: -131.50
Formation energy from the elements in eV per atom: -0.033

Cell: 4.9276 4.9276 10.8553 Å, 90.00 90.00 90.00°
Closest atoms and distances in Å follow each position.
Space group I4/mmm (No. 139)
Unique sites:
Cs: 0.0000 0.0000 0.0000 [2 per cell]  8 Cd 3.67, 8 Ga 3.72
Cd: 0.0000 0.5000 0.2500 [4 per cell]  4 Ga 2.84
Ga: 0.0000 0.0000 0.3809 [4 per cell]  1 Ga 2.59, 4 Cd 2.84